Material: Sr3LiAl8
Method: DFT, PBE
State: optimized geometry Values from VASP.

Geometry as Quantum ESPRESSO input:
```
&SYSTEM
  ibrav = 0, nat = 12, ntyp = 3
/
ATOMIC_SPECIES
Al 26.98 Al.upf
Li 6.94 Li.upf
Sr 87.62 Sr.upf
ATOMIC_POSITIONS angstrom
Al -6.9739 -1.8846 -8.6763
Al -1.9232 -1.0806 -4.8273
Li -3.8242 -2.1521 -9.6624
Al -2.6285 0.0559 -7.3880
Sr -4.6233 -2.3172 -6.2621
Al -8.6445 -4.2032 -9.2452
Al -6.5401 -3.3952 -11.0916
Al -3.9716 -1.8650 -2.9874
Al -1.4884 -2.5950 -7.2488
Al -5.8367 -4.5287 -8.5375
Sr -7.9248 -3.7221 -5.9764
Sr -0.6220 -0.7894 -9.9395
CELL_PARAMETERS angstrom
-1.4079 2.2689 -5.1123
0.8681 -3.0233 -4.8344
-8.8379 -3.9357 -2.5662
```

Values from the calculation:
ΔE_f ... -0.20 eV/atom

***

Material: LiPtW2
Method: DFT, PBE
State: optimized geometry Values from VASP.

Geometry as Quantum ESPRESSO input:
```
&SYSTEM
  ibrav = 0, nat = 4, ntyp = 3
/
ATOMIC_SPECIES
Li 6.94 Li.upf
W 183.84 W.upf
Pt 195.08 Pt.upf
ATOMIC_POSITIONS angstrom
Li 0.0000 0.0000 2.9662
W 0.0000 0.0000 0.0950
Pt 1.6183 1.6183 4.1419
W 1.6183 1.6183 1.4302
CELL_PARAMETERS angstrom
3.2365 0.0000 0.0000
0.0000 3.2365 0.0000
0.0000 0.0000 5.7555
```

Values from the calculation:
Energy above the lowest structure with this stoichiometry ... 0.0688 eV per atom
ΔE_f ... 0.10 eV/atom

***

Material: LiAlSe2
Method: DFT, PBE
State: optimized geometry Values from VASP.

Geometry as Quantum ESPRESSO input:
```
&SYSTEM
  ibrav = 0, nat = 4, ntyp = 3
/
ATOMIC_SPECIES
Se 78.96 Se.upf
Al 26.98 Al.upf
Li 6.94 Li.upf
ATOMIC_POSITIONS angstrom
Se 0.0000 0.0000 0.0000
Al 1.9766 0.0000 1.7119
Se 1.9766 2.9259 0.0000
Li 0.0000 2.9259 1.7119
CELL_PARAMETERS angstrom
3.9532 0.0000 0.0000
0.0000 5.8518 0.0000
0.0000 0.0000 3.4239
```

Values from the calculation:
Energy relative to the elements, uncorrected ... -0.4268 eV per atom

***

Material: CeDyPu4
Method: DFT, PBE
State: optimized geometry Values from VASP.

Geometry as Quantum ESPRESSO input:
```
&SYSTEM
  ibrav = 0, nat = 6, ntyp = 3
/
ATOMIC_SPECIES
Pu 244.00 Pu.upf
Ce 140.12 Ce.upf
Dy 162.50 Dy.upf
ATOMIC_POSITIONS angstrom
Pu 0.7700 -5.8909 3.9130
Ce 0.0000 0.0000 0.0000
Pu -1.8649 -6.4317 2.4004
Dy -0.0458 -3.5128 1.3358
Pu -0.1146 -8.7919 3.3432
Pu 0.8433 -6.9882 1.0296
CELL_PARAMETERS angstrom
-1.9051 -3.5873 4.6013
-1.7593 -5.7698 -1.1333
3.4813 -4.6942 1.8750
```

Values from the calculation:
ΔE_f ... 0.24 eV/atom

***

Material: LaTb3Dy6Tm2
Method: DFT, PBE
State: optimized geometry Values from VASP.

Geometry as Quantum ESPRESSO input:
```
&SYSTEM
  ibrav = 0, nat = 12, ntyp = 4
/
ATOMIC_SPECIES
Dy 162.50 Dy.upf
Tb 158.93 Tb.upf
Tm 168.93 Tm.upf
La 138.91 La.upf
ATOMIC_POSITIONS angstrom
Dy 3.0575 1.7250 8.7236
Tb 1.0096 1.7482 5.8249
Tb -2.0633 3.5229 5.8249
Dy 2.0396 3.5315 2.9456
Dy -0.0339 3.5104 8.7236
Tm 0.0008 3.5550 0.0200
Tb 4.0826 -0.0266 5.8249
La 0.0000 0.0000 0.0000
Tm 3.0788 1.7774 0.0200
Dy 2.0532 -0.0140 2.9262
Dy -0.0203 -0.0351 8.7043
Dy -1.0383 1.7714 2.9262
CELL_PARAMETERS angstrom
6.1552 0.0006 0.0200
-3.0755 5.3317 0.0200
-1.0604 -1.8360 11.6098
```

Values from the calculation:
ΔE_f ... 0.02 eV/atom

***

Material: BaHgRu2
Method: DFT, PBE
State: optimized geometry Values from VASP.

Geometry as Quantum ESPRESSO input:
```
&SYSTEM
  ibrav = 0, nat = 4, ntyp = 3
/
ATOMIC_SPECIES
Hg 200.59 Hg.upf
Ru 101.07 Ru.upf
Ba 137.33 Ba.upf
ATOMIC_POSITIONS angstrom
Hg -4.1990 -3.3592 2.3457
Ru -5.6038 -1.0030 3.1276
Ba -1.1675 -2.8166 0.6537
Ru -3.4907 -0.6248 1.9482
CELL_PARAMETERS angstrom
-0.9067 -2.5471 -2.4415
1.6033 -2.5434 2.0569
-6.0630 -1.0852 3.3839
```

Values from the calculation:
ΔE_f ... 0.77 eV/atom

***

Material: BaCaSn3
Method: DFT, PBE
State: optimized geometry Values from VASP.

Geometry as Quantum ESPRESSO input:
```
&SYSTEM
  ibrav = 0, nat = 10, ntyp = 3
/
ATOMIC_SPECIES
Sn 118.71 Sn.upf
Ca 40.08 Ca.upf
Ba 137.33 Ba.upf
ATOMIC_POSITIONS angstrom
Sn -7.3091 8.9505 8.8651
Ca -5.9001 3.7034 6.4213
Ca -5.5413 4.0624 2.0934
Ba -9.4249 6.1761 7.5636
Sn -5.5117 0.7337 1.7122
Sn -6.9643 6.0414 4.2212
Sn -4.4771 1.7243 4.2935
Ba -2.0165 1.5897 0.9511
Sn -5.9297 7.0321 6.8025
Sn -4.1322 -1.1847 -0.3505
CELL_PARAMETERS angstrom
-3.6950 0.2800 -2.7315
-1.9636 -3.8442 2.2622
-5.7828 11.3300 8.9839
```

Values from the calculation:
Energy above the lowest structure with this stoichiometry ... 0.0448 eV per atom
ΔE_f ... -0.57 eV/atom

***

Material: CaCePt2
Method: DFT, PBE
State: optimized geometry Values from VASP.

Geometry as Quantum ESPRESSO input:
```
&SYSTEM
  ibrav = 0, nat = 4, ntyp = 3
/
ATOMIC_SPECIES
Pt 195.08 Pt.upf
Ce 140.12 Ce.upf
Ca 40.08 Ca.upf
ATOMIC_POSITIONS angstrom
Pt 2.4986 1.4426 1.0200
Pt 7.4958 4.3277 3.0601
Ce 0.0000 0.0000 0.0000
Ca 4.9972 2.8851 2.0401
CELL_PARAMETERS angstrom
4.9972 0.0000 0.0000
2.4986 4.3277 0.0000
2.4986 1.4426 4.0802
```

Values from the calculation:
Energy above the lowest structure with this stoichiometry ... 0.0465 eV per atom
ΔE_f ... -0.97 eV/atom

***

Material: Zn2Pd13
Method: DFT, PBE
State: optimized geometry Values from VASP.

Geometry as Quantum ESPRESSO input:
```
&SYSTEM
  ibrav = 0, nat = 15, ntyp = 2
/
ATOMIC_SPECIES
Pd 106.42 Pd.upf
Zn 65.41 Zn.upf
ATOMIC_POSITIONS angstrom
Pd -2.2733 -3.9863 1.4242
Pd -3.5081 -1.6363 0.5744
Zn -5.9085 -1.9039 -0.9443
Pd -2.3486 -0.1454 -1.4895
Pd -5.9448 -0.9418 1.5947
Zn -2.3849 0.8168 1.0494
Pd -3.5007 -2.5633 -2.0645
Pd -7.1804 1.3775 0.6913
Pd -3.6555 3.0620 0.1945
Pd -4.6379 -4.1492 -0.0893
Pd -1.1130 -2.4647 -0.5862
Pd -4.7853 0.5491 -0.4693
Pd -6.0201 2.8991 -1.3190
Pd -4.7927 1.4761 2.1696
Pd 0.0000 0.0000 0.0000
CELL_PARAMETERS angstrom
-2.2766 -1.1044 -4.1146
-1.0444 -6.3019 2.3403
-4.9724 6.3192 1.8794
```

Values from the calculation:
ΔE_f ... -0.17 eV/atom

***

Material: CaAcSiN3
Method: DFT, PBE
State: optimized geometry Values from VASP.

Geometry as Quantum ESPRESSO input:
```
&SYSTEM
  ibrav = 0, nat = 12, ntyp = 4
/
ATOMIC_SPECIES
Ac 227.00 Ac.upf
Ca 40.08 Ca.upf
N 14.01 N.upf
Si 28.09 Si.upf
ATOMIC_POSITIONS angstrom
Ac 1.9400 1.7482 0.5624
Ac 0.0000 2.6833 6.4332
Ca 0.0000 3.6822 2.9898
N 0.0000 0.2377 5.7360
Ca 1.9401 0.7494 4.0057
Si 0.0000 -1.4838 5.2070
N 1.9400 -1.4790 5.2436
Si 1.9400 5.9154 1.7886
N 0.0000 1.1822 2.3420
N 0.0000 5.9105 1.7519
N 1.9400 3.2493 4.6536
N 1.9400 4.1938 1.2596
CELL_PARAMETERS angstrom
3.8801 0.0000 0.0000
-1.9400 6.4744 -0.1156
0.0000 -2.0428 7.1111
```

Values from the calculation:
Energy relative to the elements, uncorrected ... -0.8118 eV per atom

***

Material: HfZrCoRu
Method: DFT, PBE
State: optimized geometry Values from VASP.

Geometry as Quantum ESPRESSO input:
```
&SYSTEM
  ibrav = 0, nat = 4, ntyp = 4
/
ATOMIC_SPECIES
Co 58.93 Co.upf
Ru 101.07 Ru.upf
Hf 178.49 Hf.upf
Zr 91.22 Zr.upf
ATOMIC_POSITIONS angstrom
Co -0.4865 -2.6845 0.6073
Ru -1.4596 -8.0536 1.8219
Hf -0.9731 -5.3691 1.2146
Zr 0.0000 0.0000 0.0000
CELL_PARAMETERS angstrom
-2.2380 -2.8458 2.7795
-1.6305 -3.9483 -1.6078
1.9224 -3.9441 1.2574
```

Values from the calculation:
ΔE_f ... -0.50 eV/atom

***

Material: Rb2MgBr4
Method: DFT, PBE
State: optimized geometry Values from VASP.

Geometry as Quantum ESPRESSO input:
```
&SYSTEM
  ibrav = 0, nat = 14, ntyp = 3
/
ATOMIC_SPECIES
Rb 85.47 Rb.upf
Mg 24.30 Mg.upf
Br 79.90 Br.upf
ATOMIC_POSITIONS angstrom
Rb 4.4415 5.7698 5.2014
Mg 1.5205 5.7698 1.8492
Br 5.3638 1.9233 5.7899
Br -0.4788 5.7698 3.3592
Br 3.0590 0.0004 2.3774
Br 1.8260 3.8469 6.7717
Rb 5.4709 5.7698 0.4140
Br 3.0590 3.8462 2.3774
Mg 3.3645 1.9233 7.2999
Rb 0.4435 1.9233 3.9477
Rb -0.5858 1.9233 8.7352
Br 6.9282 1.9233 0.5035
Br -2.0432 5.7698 8.6456
Br 1.8260 7.6927 6.7717
CELL_PARAMETERS angstrom
7.8826 0.0000 -0.0862
0.0000 7.6930 0.0000
-2.9976 0.0000 9.2353
```

Values from the calculation:
Energy relative to the elements, uncorrected ... -1.6479 eV per atom

***

| no. | E_tot (eV per atom) |
| --- | --- |
| 1 | -3.27 |
| 2 | -8.37 |
| 3 | -3.58 |
| 4 | -11.07 |
| 5 | -4.59 |
| 6 | -4.43 |
| 7 | -3.75 |
| 8 | -5.97 |
| 9 | -4.84 |
| 10 | -6.90 |
| 11 | -9.22 |
| 12 | -3.11 |